[1]
## LaPuNi4 (PBE-GGA)

Data for LaPuNi4 after structural relaxation.

```
data_LaPuNi4
_chemical_formula_sum 'La1 Pu1 Ni4'
_cell_length_a 5.131
_cell_length_b 5.131
_cell_length_c 5.131
_cell_angle_alpha 60.00
_cell_angle_beta 60.00
_cell_angle_gamma 60.00
_space_group_name_H-M_alt 'P 1'
_space_group_IT_number 1
loop_
_space_group_symop_operation_xyz
'x,y,z'
loop_
_atom_site_label
_atom_site_fract_x
_atom_site_fract_y
_atom_site_fract_z
_atom_site_occupancy
Ni1 0.129 0.624 0.624 1
Pu1 0.250 0.250 0.250 1
Ni2 0.624 0.129 0.624 1
Ni3 0.624 0.624 0.129 1
La1 0.000 0.000 0.000 1
Ni4 0.624 0.624 0.624 1
```

Summary:
Total magnetic moment ... 0.89 μB per atom
Formation energy from the elements ... -267 meV/atom

=====

[2]
## La2PuNiS5 (PBE-GGA)

Data for La2PuNiS5 after structural relaxation.

```
data_La2PuNiS5
_chemical_formula_sum 'La4 Pu2 Ni2 S10'
_cell_length_a 3.934
_cell_length_b 8.528
_cell_length_c 12.085
_cell_angle_alpha 90.00
_cell_angle_beta 90.00
_cell_angle_gamma 103.34
_space_group_name_H-M_alt 'P 1'
_space_group_IT_number 1
loop_
_space_group_symop_operation_xyz
'x,y,z'
loop_
_atom_site_label
_atom_site_fract_x
_atom_site_fract_y
_atom_site_fract_z
_atom_site_occupancy
Ni1 0.553 0.106 0.920 1
S1 0.345 0.690 0.021 1
S2 0.303 0.606 0.687 1
La1 0.117 0.234 0.346 1
La2 0.883 0.766 0.846 1
S3 0.021 0.042 0.004 1
La3 0.882 0.764 0.198 1
Pu1 0.180 0.360 0.027 1
S4 0.315 0.629 0.368 1
La4 0.118 0.236 0.698 1
S5 0.979 0.958 0.504 1
S6 0.697 0.394 0.187 1
Ni2 0.447 0.894 0.420 1
S7 0.655 0.310 0.521 1
Pu2 0.820 0.640 0.527 1
S8 0.685 0.371 0.868 1
S9 0.505 0.009 0.252 1
S10 0.495 0.991 0.752 1
```

Summary:
Total magnetic moment ... 0.45 μB per atom
Uncorrected formation energy ... -1.717 eV/atom

=====

[3]
## LaPuNi2Sb2 (PBE-GGA)

Data for LaPuNi2Sb2 after structural relaxation.

```
data_LaPuNi2Sb2
_chemical_formula_sum 'La1 Pu1 Ni2 Sb2'
_cell_length_a 4.395
_cell_length_b 4.395
_cell_length_c 8.182
_cell_angle_alpha 90.00
_cell_angle_beta 90.00
_cell_angle_gamma 120.00
_space_group_name_H-M_alt 'P 1'
_space_group_IT_number 1
loop_
_space_group_symop_operation_xyz
'x,y,z'
loop_
_atom_site_label
_atom_site_fract_x
_atom_site_fract_y
_atom_site_fract_z
_atom_site_occupancy
Sb1 0.333 0.667 0.256 1
Sb2 0.667 0.333 0.744 1
Ni1 0.667 0.333 0.280 1
Ni2 0.333 0.667 0.720 1
Pu1 0.000 0.000 0.500 1
La1 0.000 0.000 0.000 1
```

Summary:
Total magnetic moment ... 0.85 μB per atom
Uncorrected formation energy ... -0.685 eV/atom

=====

[4]
## LaPu2Ni2Sb2 (PBE-GGA)

Data for LaPu2Ni2Sb2 after structural relaxation.

```
data_LaPu2Ni2Sb2
_chemical_formula_sum 'La1 Pu2 Ni2 Sb2'
_cell_length_a 4.181
_cell_length_b 4.181
_cell_length_c 9.873
_cell_angle_alpha 77.78
_cell_angle_beta 77.78
_cell_angle_gamma 60.00
_space_group_name_H-M_alt 'P 1'
_space_group_IT_number 1
loop_
_space_group_symop_operation_xyz
'x,y,z'
loop_
_atom_site_label
_atom_site_fract_x
_atom_site_fract_y
_atom_site_fract_z
_atom_site_occupancy
Sb1 0.259 0.259 0.222 1
Ni1 0.562 0.562 0.313 1
La1 0.000 0.000 0.000 1
Pu1 0.155 0.155 0.536 1
Ni2 0.438 0.438 0.687 1
Pu2 0.845 0.845 0.464 1
Sb2 0.741 0.741 0.778 1
```

Summary:
Total magnetic moment ... 0.00 μB per atom
Uncorrected formation energy ... -0.378 eV/atom